# 1
# PBE Sm5Te4C, optimized geometry
data_Sm5Te4C
_space_group_name_H-M_alt 'I 4'
_space_group_IT_number 79
_space_group_name_Hall 'I 4'
_cell_length_a 9.6708
_cell_length_b 9.6708
_cell_length_c 6.1492
_cell_angle_alpha 90.00
_cell_angle_beta 90.00
_cell_angle_gamma 90.00
loop_
_atom_site_label
_atom_site_fract_x
_atom_site_fract_y
_atom_site_fract_z
Sm1 0.0000 0.0000 0.0000
Sm2 0.0913 0.2471 0.4552
Te1 0.0863 0.3098 0.9567
C1 0.0000 0.0000 0.4252
# Uncorrected formation energy ... -1.15 eV per atom
# ρ ... 7358 kg/m3
# Energy ... -5.6902 eV per atom
# Spin magnetization ... 0.00 μB per atom



# 2
# PBE Sm4TeC, optimized geometry
data_Sm4TeC
_space_group_name_H-M_alt 'C 1 2/c 1'
_space_group_IT_number 15
_space_group_name_Hall '-C 2yc'
_cell_length_a 9.7091
_cell_length_b 14.5809
_cell_length_c 6.3196
_cell_angle_alpha 90.00
_cell_angle_beta 128.89
_cell_angle_gamma 90.00
loop_
_atom_site_label
_atom_site_fract_x
_atom_site_fract_y
_atom_site_fract_z
Sm1 0.1394 0.1931 0.1132
Sm2 0.2042 0.0473 0.6497
Te1 0.0000 0.3783 0.7500
C1 0.0000 0.0729 0.7500
# Relative energy among the computed polymorphs ... 34 meV/atom
# Uncorrected formation energy ... -0.45 eV per atom
# ρ ... 7069 kg/m3
# Energy ... -5.6586 eV per atom
# Spin magnetization ... 0.00 μB per atom



# 3
# PBE Sm5Te2C, optimized geometry
data_Sm5Te2C
_space_group_name_H-M_alt 'C m c m'
_space_group_IT_number 63
_space_group_name_Hall '-C 2c 2'
_cell_length_a 5.7953
_cell_length_b 11.6922
_cell_length_c 14.4541
_cell_angle_alpha 90.00
_cell_angle_beta 90.00
_cell_angle_gamma 90.00
loop_
_atom_site_label
_atom_site_fract_x
_atom_site_fract_y
_atom_site_fract_z
Sm1 0.0000 0.0682 0.1346
Sm2 0.0000 0.2946 0.7500
Sm3 0.0000 0.3698 0.1290
Te1 0.0000 0.1871 0.5557
C1 0.0000 0.2253 0.2500
# Uncorrected formation energy ... -0.58 eV per atom
# ρ ... 6911 kg/m3
# Energy ... -5.4718 eV per atom
# Spin magnetization ... 0.00 μB per atom